This record from Alexandria describes a relaxed structure of InCuGe. The functional is PBE-GGA.

a b c (Å): 6.081 3.092 6.151
angles (deg): 90.00 90.00 90.00
Sites, in units of the cell vectors:
In: 0.250 0.000 0.188
In: 0.750 0.000 0.812
Cu: 0.000 0.500 0.500
Cu: 0.500 0.500 0.500
Ge: 0.250 0.000 0.733
Ge: 0.750 0.000 0.267

Calculated values
For the formation energy, the calculation gives 0.133 eV per atom.

This record from Alexandria describes a relaxed structure of InCu3Ge3. The functional is PBE-GGA.

a b c (Å): 6.748 6.748 6.748
angles (deg): 90.00 90.00 90.00
Sites, in units of the cell vectors:
In: 0.000 0.000 0.000
In: 0.500 0.500 0.500
Cu: 0.000 0.250 0.500
Cu: 0.000 0.750 0.500
Cu: 0.250 0.500 0.000
Cu: 0.500 0.000 0.250
Cu: 0.500 0.000 0.750
Cu: 0.750 0.500 0.000
Ge: 0.000 0.500 0.250
Ge: 0.000 0.500 0.750
Ge: 0.250 0.000 0.500
Ge: 0.500 0.250 0.000
Ge: 0.500 0.750 0.000
Ge: 0.750 0.000 0.500

Calculated values
For the formation energy, the calculation gives 0.412 eV per atom.

This record from Alexandria describes a relaxed structure of InCuGe. The functional is PBE-GGA.

a b c (Å): 2.969 6.233 6.598
angles (deg): 91.72 102.92 90.03
Sites, in units of the cell vectors:
In: 0.129 0.015 0.253
In: 0.871 0.985 0.747
Cu: 0.291 0.652 0.585
Cu: 0.709 0.348 0.415
Ge: 0.098 0.570 0.189
Ge: 0.902 0.430 0.811

Calculated values
For the formation energy, the calculation gives 0.119 eV per atom.

This record from Alexandria describes a relaxed structure of InCuGe. The functional is PBE-GGA.

a b c (Å): 3.999 5.057 6.485
angles (deg): 77.82 72.14 66.85
Sites, in units of the cell vectors:
In: 0.000 0.000 0.000
In: 0.447 0.425 0.681
Cu: 0.004 0.618 0.372
Cu: 0.715 0.839 0.729
Ge: 0.261 0.024 0.452
Ge: 0.658 0.553 0.129

Calculated values
For the formation energy, the calculation gives 0.130 eV per atom.

This record from Alexandria describes a relaxed structure of In3CuGe. The functional is PBE-GGA.

a b c (Å): 5.056 5.056 5.056
angles (deg): 90.00 90.00 90.00
Sites, in units of the cell vectors:
In: 0.000 0.000 0.500
In: 0.000 0.500 0.000
In: 0.500 0.000 0.000
Cu: 0.000 0.000 0.000
Ge: 0.500 0.500 0.500

Calculated values
For the formation energy, the calculation gives 0.334 eV per atom. The calculation puts the excess energy over the best structure of this formula in the dataset at 0.0 meV/atom.

This record from Alexandria describes a relaxed structure of InCu6Ge. The functional is PBE-GGA.

a b c (Å): 4.167 5.666 4.644
angles (deg): 90.00 90.00 90.00
Sites, in units of the cell vectors:
In: 0.000 0.000 0.000
Cu: 0.000 0.267 0.504
Cu: 0.000 0.500 0.004
Cu: 0.000 0.733 0.504
Cu: 0.500 0.000 0.386
Cu: 0.500 0.271 0.832
Cu: 0.500 0.729 0.832
Ge: 0.500 0.500 0.334

Calculated values
For the formation energy, the calculation gives 0.015 eV per atom. The calculation puts the excess energy over the best structure of this formula in the dataset at 0.0 meV/atom.